A relaxed Ti4SiTc3 crystal, computed with PBE.

Its energy relative to the elements, uncorrected is -56.9 kJ per mole of atoms. The calculated total energy is -72.82 eV/cell.

The space group is Pmmm (No. 47) and the conventional cell measures 3.183, 4.296 and 8.703 Å, with angles of 90.00, 90.00 and 90.00 degrees. Symmetry generates all atoms from Ti at (0.000, 0.000, 0.000), Ti at (0.000, 0.000, 0.500), Ti at (0.000, 0.500, 0.246), Si at (0.500, 0.500, 0.500), Tc at (0.500, 0.000, 0.259) and Tc at (0.500, 0.500, 0.000).